(1)
Crystalline Nd5Sn4 at its relaxed geometry. Source: the Alexandria database, functional PBE-GGA.

## Properties
Formation energy from the elements (eV/f.u.): -6.5
Distance to the lowest polymorph of the same formula (eV per atom): 0.0334
SG: C2/m, No. 12

a = 6.3253 Å, b = 6.3253 Å, c = 10.9040 Å
α = 111.56°, β = 111.56°, γ = 43.92°
Sites, in units of the cell vectors:
Nd1 0.0000 0.0000 0.0000
Nd2 0.0923 0.0923 0.3888
Nd3 0.2498 0.2498 0.8352
Nd4 0.7502 0.7502 0.1648
Nd5 0.9077 0.9077 0.6112
Sn1 0.3648 0.3648 0.3899
Sn2 0.4514 0.4514 0.1637
Sn3 0.5486 0.5486 0.8363
Sn4 0.6352 0.6352 0.6101

=====

(2)
Crystalline Cs6ZnPb3 at its relaxed geometry. Source: the Alexandria database, functional PBE-GGA.

## Properties
Formation energy from the elements (eV/f.u.): -0.4
SG: P2_1/c, No. 14

a = 12.3627 Å, b = 6.7956 Å, c = 14.4408 Å
α = 90.00°, β = 125.17°, γ = 90.00°
Sites, in units of the cell vectors:
Cs1 0.0605 0.0021 0.1624
Cs2 0.0605 0.4979 0.6624
Cs3 0.2691 0.5011 0.3341
Cs4 0.2691 0.9989 0.8341
Cs5 0.4043 0.5062 0.6716
Cs6 0.4043 0.9938 0.1716
Cs7 0.5957 0.0062 0.8284
Cs8 0.5957 0.4938 0.3284
Cs9 0.7309 0.0011 0.1659
Cs10 0.7309 0.4989 0.6659
Cs11 0.9395 0.5021 0.3376
Cs12 0.9395 0.9979 0.8376
Zn1 0.0000 0.0000 0.5000
Zn2 0.0000 0.5000 0.0000
Pb1 0.2232 0.0049 0.4978
Pb2 0.2232 0.4951 0.9978
Pb3 0.5000 0.0000 0.5000
Pb4 0.5000 0.5000 0.0000
Pb5 0.7768 0.5049 0.0022
Pb6 0.7768 0.9951 0.5022

=====

(3)
Crystalline MnGe2C at its relaxed geometry. Source: the Alexandria database, functional PBE-GGA.

## Properties
Formation energy from the elements (eV/f.u.): 2.8
SG: I-42d, No. 122

a = 5.7414 Å, b = 5.7414 Å, c = 7.3925 Å
α = 90.00°, β = 90.00°, γ = 90.00°
Sites, in units of the cell vectors:
Mn1 0.0000 0.0000 0.0000
Mn2 0.0000 0.5000 0.2500
Mn3 0.5000 0.0000 0.7500
Mn4 0.5000 0.5000 0.5000
Ge1 0.1799 0.7500 0.6250
Ge2 0.2500 0.1799 0.3750
Ge3 0.2500 0.3201 0.8750
Ge4 0.3201 0.7500 0.1250
Ge5 0.6799 0.2500 0.1250
Ge6 0.7500 0.6799 0.8750
Ge7 0.7500 0.8201 0.3750
Ge8 0.8201 0.2500 0.6250
C1 0.0000 0.0000 0.5000
C2 0.0000 0.5000 0.7500
C3 0.5000 0.0000 0.2500
C4 0.5000 0.5000 0.0000

=====

(4)
Crystalline PaSbW at its relaxed geometry. Source: the Alexandria database, functional PBE-GGA.

## Properties
SG: I4/mmm, No. 139
Energy relative to the elements, uncorrected (meV per atom): -27

a = 3.1727 Å, b = 3.1727 Å, c = 29.2737 Å
α = 90.00°, β = 90.00°, γ = 90.00°
Sites, in units of the cell vectors:
Pa1 0.0000 0.0000 0.1536
Pa2 0.0000 0.0000 0.8464
Pa3 0.5000 0.5000 0.3464
Pa4 0.5000 0.5000 0.6536
Sb1 0.0000 0.0000 0.4334
Sb2 0.0000 0.0000 0.5666
Sb3 0.5000 0.5000 0.0666
Sb4 0.5000 0.5000 0.9334
W1 0.0000 0.0000 0.2757
W2 0.0000 0.0000 0.7243
W3 0.5000 0.5000 0.2243
W4 0.5000 0.5000 0.7757

=====

(5)
Crystalline Fe2HgAs at its relaxed geometry. Source: the Alexandria database, functional PBE-GGA.

## Properties
Formation energy from the elements (eV/f.u.): 1.4
Distance to the lowest polymorph of the same formula (eV per atom): 0.1841
SG: Imm2, No. 44

a = 2.8981 Å, b = 4.5014 Å, c = 10.0278 Å
α = 90.00°, β = 90.00°, γ = 90.00°
Sites, in units of the cell vectors:
Fe1 0.0000 0.0000 0.0000
Fe2 0.0000 0.5000 0.2940
Fe3 0.5000 0.0000 0.7940
Fe4 0.5000 0.5000 0.5000
Hg1 0.0000 0.5000 0.8081
Hg2 0.5000 0.0000 0.3081
As1 0.0000 0.0000 0.5893
As2 0.5000 0.5000 0.0893

=====

(6)
Crystalline ReTe3I at its relaxed geometry. Source: the Alexandria database, functional PBE-GGA.

## Properties
Distance to the lowest polymorph of the same formula (eV per atom): 0.5299
SG: Pm-3m, No. 221
Energy relative to the elements, uncorrected (meV per atom): 546

a = 5.3008 Å, b = 5.3008 Å, c = 5.3008 Å
α = 90.00°, β = 90.00°, γ = 90.00°
Sites, in units of the cell vectors:
Re1 0.0000 0.0000 0.0000
Te1 0.0000 0.0000 0.5000
Te2 0.0000 0.5000 0.0000
Te3 0.5000 0.0000 0.0000
I1 0.5000 0.5000 0.5000

=====

(7)
Crystalline Rb2Hg4Bi2Pd at its relaxed geometry. Source: the Alexandria database, functional PBE-GGA.

## Properties
Formation energy from the elements (eV/f.u.): -1.5
SG: I4/mmm, No. 139

a = 7.2580 Å, b = 7.2580 Å, c = 7.2580 Å
α = 117.91°, β = 117.91°, γ = 93.67°
Sites, in units of the cell vectors:
Rb1 0.2500 0.7500 0.5000
Rb2 0.7500 0.2500 0.5000
Hg1 0.2386 0.2386 0.4772
Hg2 0.2386 0.7614 0.0000
Hg3 0.7614 0.2386 0.0000
Hg4 0.7614 0.7614 0.5228
Bi1 0.2040 0.2040 0.0000
Bi2 0.7960 0.7960 0.0000
Pd1 0.5000 0.5000 0.0000

=====

(8)
Crystalline Pr4YTe7 at its relaxed geometry. Source: the Alexandria database, functional PBE-GGA.

## Properties
SG: Cm, No. 8
Energy relative to the elements, uncorrected (meV per atom): -1439

a = 7.6922 Å, b = 7.6922 Å, c = 13.4984 Å
α = 104.03°, β = 104.03°, γ = 33.03°
Sites, in units of the cell vectors:
Pr1 0.0000 0.0000 0.0000
Pr2 0.1866 0.1866 0.7650
Pr3 0.5862 0.5862 0.3816
Pr4 0.8858 0.8858 0.5703
Y1 0.7711 0.7711 0.1490
Te1 0.1517 0.1517 0.2232
Te2 0.2233 0.2233 0.5245
Te3 0.3812 0.3812 0.0760
Te4 0.5481 0.5481 0.6219
Te5 0.6303 0.6303 0.9279
Te6 0.8494 0.8494 0.7894
Te7 0.9215 0.9215 0.3507

=====

(9)
Crystalline K2Zn at its relaxed geometry. Source: the Alexandria database, functional PBE-GGA.

## Properties
Formation energy from the elements (eV/f.u.): 0.4
Distance to the lowest polymorph of the same formula (eV per atom): 0.0350
SG: I4/mcm, No. 140

a = 8.8981 Å, b = 8.8981 Å, c = 6.8237 Å
α = 90.00°, β = 90.00°, γ = 90.00°
Sites, in units of the cell vectors:
K1 0.1711 0.3289 0.0000
K2 0.1711 0.6711 0.5000
K3 0.3289 0.1711 0.5000
K4 0.3289 0.8289 0.0000
K5 0.6711 0.1711 0.0000
K6 0.6711 0.8289 0.5000
K7 0.8289 0.3289 0.5000
K8 0.8289 0.6711 0.0000
Zn1 0.0000 0.0000 0.2500
Zn2 0.0000 0.0000 0.7500
Zn3 0.5000 0.5000 0.2500
Zn4 0.5000 0.5000 0.7500

=====

(10)
Crystalline Tm2TlHg3 at its relaxed geometry. Source: the Alexandria database, functional PBE-GGA.

## Properties
Formation energy from the elements (eV/f.u.): -1.9
Distance to the lowest polymorph of the same formula (eV per atom): 0.0000
SG: P2/m, No. 10

a = 4.9402 Å, b = 4.0394 Å, c = 7.9245 Å
α = 90.00°, β = 107.85°, γ = 90.00°
Sites, in units of the cell vectors:
Tm1 0.1590 0.0000 0.3171
Tm2 0.8410 0.0000 0.6829
Tl1 0.5000 0.0000 0.0000
Hg1 0.0000 0.5000 0.0000
Hg2 0.3181 0.5000 0.6382
Hg3 0.6819 0.5000 0.3618

=====

(11)
Crystalline LiAlAsSe2 at its relaxed geometry. Source: the Alexandria database, functional PBE-GGA.

## Properties
Distance to the lowest polymorph of the same formula (eV per atom): 0.0000
SG: P4/mmm, No. 123
Energy relative to the elements, uncorrected (meV per atom): -67

a = 5.0501 Å, b = 5.0501 Å, c = 4.7823 Å
α = 90.00°, β = 90.00°, γ = 90.00°
Sites, in units of the cell vectors:
Li1 0.0000 0.0000 0.0000
Al1 0.5000 0.5000 0.5000
As1 0.5000 0.5000 0.0000
Se1 0.0000 0.5000 0.5000
Se2 0.5000 0.0000 0.5000

=====

(12)
Crystalline CaHoGe at its relaxed geometry. Source: the Alexandria database, functional PBE-GGA.

## Properties
Formation energy from the elements (eV/f.u.): -1.5
SG: F-43m, No. 216

a = 6.9896 Å, b = 6.9896 Å, c = 6.9896 Å
α = 90.00°, β = 90.00°, γ = 90.00°
Sites, in units of the cell vectors:
Ca1 0.0000 0.0000 0.0000
Ca2 0.0000 0.5000 0.5000
Ca3 0.5000 0.0000 0.5000
Ca4 0.5000 0.5000 0.0000
Ho1 0.0000 0.0000 0.5000
Ho2 0.0000 0.5000 0.0000
Ho3 0.5000 0.0000 0.0000
Ho4 0.5000 0.5000 0.5000
Ge1 0.2500 0.2500 0.7500
Ge2 0.2500 0.7500 0.2500
Ge3 0.7500 0.2500 0.2500
Ge4 0.7500 0.7500 0.7500